1.
The following is a GGA-PBE calculation of a geometry-optimized ZrTl3Os structure, from the Alexandria database.

Summary:
Energy of formation (eV per atom): 1.04
Magnetization (μB per cell): 0.0
Polymorph energy (0 for the lowest one) (meV per atom): 0.0

a b c (Å): 5.2081 5.2081 5.2081
angles (deg): 90.00 90.00 90.00
Sites, in units of the cell vectors:
Zr: 0.0000 0.0000 0.0000
Tl: 0.0000 0.5000 0.5000
Tl: 0.5000 0.0000 0.5000
Tl: 0.5000 0.5000 0.0000
Os: 0.5000 0.5000 0.5000

2.
The following is a GGA-PBE calculation of a geometry-optimized ZrTlOs2 structure, from the Alexandria database.

Summary:
Energy of formation (eV per atom): 0.36
Magnetization (μB per cell): 0.0
Polymorph energy (0 for the lowest one) (meV per atom): 144.9

a b c (Å): 5.3635 5.3635 4.7351
angles (deg): 104.59 104.59 33.45
Sites, in units of the cell vectors:
Zr: 0.0000 0.0000 0.0000
Tl: 0.2276 0.2276 0.7220
Os: 0.4784 0.4784 0.4598
Os: 0.7643 0.7643 0.2512

3.
The following is a GGA-PBE calculation of a geometry-optimized ZrTlOs2 structure, from the Alexandria database.

Summary:
Energy of formation (eV per atom): 0.61
Magnetization (μB per cell): 0.0
Polymorph energy (0 for the lowest one) (meV per atom): 393.4

a b c (Å): 4.6670 4.6670 4.6670
angles (deg): 60.00 60.00 60.00
Sites, in units of the cell vectors:
Zr: 0.0000 0.0000 0.0000
Tl: 0.7500 0.7500 0.7500
Os: 0.2500 0.2500 0.2500
Os: 0.5000 0.5000 0.5000

Q: What is the energy of formation in the third record?
A: 0.61 eV per atom

Q: Look up the polymorph energy (0 for the lowest one) of the second one.
A: 144.9 meV per atom

Q: What is the energy of formation in the third record?
A: 0.61 eV per atom